# LiGa3Ag

Crystalline LiGa3Ag at its relaxed geometry (GGA-PBE, Alexandria via LeMat-Bulk).

a = 5.025 Å, b = 5.025 Å, c = 5.025 Å
α = 90.00°, β = 90.00°, γ = 90.00°
Fractional positions:
Li  0.000  0.000  0.000
Ga  0.000  0.500  0.500
Ga  0.500  0.000  0.500
Ga  0.500  0.500  0.000
Ag  0.500  0.500  0.500

Summary:
- Space group: Pm-3m, No. 221
- DFT formation energy: 293 meV per atom